Material: RbPaBiO5
Method: DFT, PBE
State: relaxed

a b c (Å): 6.6664 6.6664 8.3828
angles (deg): 104.42 104.42 106.27
Last column: nearest neighbours and their distance in Å.
Sites, in units of the cell vectors:
O1 0.3462 0.2252 0.0918  1 Bi 2.15, 1 Pa 2.18
O2 0.6538 0.7748 0.9082  1 Bi 2.15, 1 Pa 2.18
O3 0.7182 0.1035 0.4052  1 Bi 2.15, 1 Pa 2.21
O4 0.7748 0.6538 0.4082  1 Bi 2.15, 1 Pa 2.18
O5 0.8965 0.2818 0.0948  1 Bi 2.15, 1 Pa 2.21
O6 0.0481 0.9519 0.2500  2 Pa 2.16
O7 0.9519 0.0481 0.7500  2 Pa 2.16
O8 0.2252 0.3462 0.5918  1 Bi 2.15, 1 Pa 2.18
O9 0.1035 0.7182 0.9052  1 Bi 2.15, 1 Pa 2.21
O10 0.2818 0.8965 0.5948  1 Bi 2.15, 1 Pa 2.21
Pa1 0.0000 0.0000 0.0000  6 O 2.16-2.21
Pa2 0.0000 0.0000 0.5000  6 O 2.16-2.21
Bi1 0.3136 0.6864 0.7500  4 O 2.15
Bi2 0.6864 0.3136 0.2500  4 O 2.15
Rb1 0.3238 0.6762 0.2500  7 O 2.94-3.03
Rb2 0.6762 0.3238 0.7500  7 O 2.94-3.03

Calculated values
E_form (uncorrected) ... -2.231 eV per atom

Material: Rb4Pa3BiO12
Method: DFT, PBE
State: relaxed

a b c (Å): 7.5870 7.5870 7.5870
angles (deg): 109.47 109.47 109.47
Last column: nearest neighbours and their distance in Å.
Sites, in units of the cell vectors:
Rb1 0.0000 0.0000 0.5000  12 O 3.10
Rb2 0.5000 0.0000 0.0000  12 O 3.10
Rb3 0.0000 0.5000 0.0000  12 O 3.10
Rb4 0.5000 0.5000 0.5000  12 O 3.10
Pa1 0.0000 0.5000 0.5000  6 O 2.19
Pa2 0.5000 0.5000 0.0000  6 O 2.19
Pa3 0.5000 0.0000 0.5000  6 O 2.19
O1 0.7503 0.0000 0.7503  1 Bi 2.19, 1 Pa 2.19
O2 0.7500 0.5000 0.2500  2 Pa 2.19
O3 0.2500 0.5000 0.7500  2 Pa 2.19
O4 0.2500 0.7500 0.5000  2 Pa 2.19
O5 0.2497 0.0000 0.2497  1 Bi 2.19, 1 Pa 2.19
O6 0.5000 0.7500 0.2500  2 Pa 2.19
O7 0.0000 0.7503 0.7503  1 Bi 2.19, 1 Pa 2.19
O8 0.2497 0.2497 0.0000  1 Bi 2.19, 1 Pa 2.19
O9 0.7503 0.7503 0.0000  1 Bi 2.19, 1 Pa 2.19
O10 0.5000 0.2500 0.7500  2 Pa 2.19
O11 0.0000 0.2497 0.2497  1 Bi 2.19, 1 Pa 2.19
O12 0.7500 0.2500 0.5000  2 Pa 2.19
Bi1 0.0000 0.0000 0.0000  6 O 2.19

Calculated values
E_form (uncorrected) ... -2.625 eV per atom

Material: PaReBi2O8
Method: DFT, PBE
State: relaxed

a b c (Å): 5.3098 5.3103 6.6358
angles (deg): 90.00 90.00 89.54
Last column: nearest neighbours and their distance in Å.
Sites, in units of the cell vectors:
Bi1 0.5000 0.5000 0.7554  4 O 2.24-2.38
Bi2 0.5000 0.5000 0.2446  4 O 2.24-2.38
Pa1 0.0000 0.0000 0.5000  6 O 2.17-2.31
Re1 0.0000 0.0000 0.0000  2 O 1.82
O1 0.3064 0.3054 0.5000  2 Bi 2.24, 1 Pa 2.31
O2 0.1811 0.8178 0.2446  1 Re 2.12, 1 Pa 2.17
O3 0.6936 0.6946 0.5000  2 Bi 2.24, 1 Pa 2.31
O4 0.7581 0.7597 0.0000  1 Re 1.82
O5 0.8189 0.1822 0.7554  1 Re 2.12, 1 Pa 2.17
O6 0.8189 0.1821 0.2446  1 Re 2.12, 1 Pa 2.17
O7 0.1811 0.8179 0.7554  1 Re 2.12, 1 Pa 2.17
O8 0.2419 0.2403 0.0000  1 Re 1.82

Calculated values
E_form (uncorrected) ... -1.923 eV per atom

Material: PaBi2RuO8
Method: DFT, PBE
State: relaxed

a b c (Å): 5.2003 5.1975 6.7329
angles (deg): 90.00 90.00 90.35
Last column: nearest neighbours and their distance in Å.
Sites, in units of the cell vectors:
Bi1 0.5000 0.5000 0.7596  6 O 2.27-2.40
Bi2 0.5000 0.5000 0.2404  6 O 2.27-2.40
O1 0.3028 0.3012 0.5000  1 Pa 2.21, 2 Bi 2.27
O2 0.2595 0.2573 0.0000  1 Ru 1.89
O3 0.6972 0.6988 0.5000  1 Pa 2.21, 2 Bi 2.27
O4 0.1775 0.8210 0.2403  1 Ru 2.08, 1 Pa 2.19
O5 0.7405 0.7427 0.0000  1 Ru 1.89
O6 0.8225 0.1790 0.2403  1 Ru 2.08, 1 Pa 2.19
O7 0.1775 0.8210 0.7597  1 Ru 2.08, 1 Pa 2.19
O8 0.8225 0.1790 0.7597  1 Ru 2.08, 1 Pa 2.19
Pa1 0.0000 0.0000 0.5000  6 O 2.19-2.21
Ru1 0.0000 0.0000 0.0000  6 O 1.89-2.08

Calculated values
E_form (uncorrected) ... -1.745 eV per atom

Material: PaBiSb2O8
Method: DFT, PBE
State: relaxed

a b c (Å): 6.3130 6.3130 6.3130
angles (deg): 108.85 108.85 110.71
Last column: nearest neighbours and their distance in Å.
Sites, in units of the cell vectors:
O1 0.5028 0.7093 0.7935  1 Sb 2.13, 1 Pa 2.18
O2 0.9419 0.6225 0.6805  1 Sb 1.91
O3 0.2907 0.0842 0.7935  1 Sb 2.13, 1 Pa 2.18
O4 0.3775 0.0581 0.3195  1 Sb 1.91
O5 0.2907 0.4972 0.2065  1 Sb 2.13, 1 Pa 2.18
O6 0.9158 0.7093 0.2065  1 Sb 2.13, 1 Pa 2.18
O7 0.9419 0.2614 0.3195  1 Sb 1.91
O8 0.7386 0.0581 0.6805  1 Sb 1.91
Sb1 0.7500 0.2500 0.5000  4 O 1.91
Sb2 0.5000 0.5000 0.0000  4 O 2.13
Bi1 0.0000 0.0000 0.0000  8 O 2.38-2.58
Pa1 0.2500 0.7500 0.5000  4 O 2.18

Calculated values
E_form (uncorrected) ... -1.803 eV per atom

Material: PaBiSbO6
Method: DFT, PBE
State: relaxed

a b c (Å): 5.7672 5.7672 9.8250
angles (deg): 90.00 90.00 120.00
Last column: nearest neighbours and their distance in Å.
Sites, in units of the cell vectors:
Pa1 0.3333 0.6667 0.2500  6 O 2.21
Pa2 0.6667 0.3333 0.7500  6 O 2.21
O1 0.3478 0.3549 0.8635  1 Sb 2.15, 1 Pa 2.21
O2 0.6451 0.6522 0.6365  1 Sb 2.15, 1 Pa 2.21
O3 0.0071 0.6522 0.8635  1 Sb 2.15, 1 Pa 2.21
O4 0.6451 0.9929 0.8635  1 Sb 2.15, 1 Pa 2.21
O5 0.0071 0.3549 0.6365  1 Sb 2.15, 1 Pa 2.21
O6 0.3478 0.9929 0.6365  1 Sb 2.15, 1 Pa 2.21
O7 0.3549 0.3478 0.3635  1 Sb 2.15, 1 Pa 2.21
O8 0.6522 0.6451 0.1365  1 Sb 2.15, 1 Pa 2.21
O9 0.9929 0.6451 0.3635  1 Sb 2.15, 1 Pa 2.21
O10 0.3549 0.0071 0.1365  1 Sb 2.15, 1 Pa 2.21
O11 0.9929 0.3478 0.1365  1 Sb 2.15, 1 Pa 2.21
O12 0.6522 0.0071 0.3635  1 Sb 2.15, 1 Pa 2.21
Bi1 0.0000 0.0000 0.5000  6 O 2.43
Bi2 0.0000 0.0000 0.0000  6 O 2.43
Sb1 0.6667 0.3333 0.2500  6 O 2.15
Sb2 0.3333 0.6667 0.7500  6 O 2.15

Calculated values
E_form (uncorrected) ... -2.047 eV per atom

In order of appearance, total magnetic moment = 0.00; 0.00; 0.00; 2.04; 0.00; 0.00 Bohr magnetons per cell.